# 1
A geometry-optimized RbLi2SnI structure. Source: the Alexandria database, functional GGA-PBE. Values from VASP.

Summary:
Space group   P4/mmm
Raw formation energy   0.478 eV/atom
N(E_F)   3.475 states/eV/cell
Calculated density   2.7 g/cm3

Quantum ESPRESSO input file:
```
&SYSTEM
  ibrav = 0, nat = 5, ntyp = 4
/
ATOMIC_SPECIES
Rb 85.47 Rb.upf
Li 6.94 Li.upf
Sn 118.71 Sn.upf
I 126.90 I.upf
CELL_PARAMETERS angstrom
5.8254 0.0000 0.0000
0.0000 5.8254 0.0000
0.0000 0.0000 6.2740
ATOMIC_POSITIONS crystal
Rb 0.0000 0.0000 0.0000
Li 0.0000 0.5000 0.0000
Li 0.5000 0.0000 0.0000
Sn 0.5000 0.5000 0.5000
I 0.0000 0.0000 0.5000
```

---

# 2
A geometry-optimized RbLi2Sn2I7 structure. Source: the Alexandria database, functional GGA-PBE. Values from VASP.

Summary:
Space group   Imm2
Raw formation energy   -0.872 eV/atom
Calculated density   4.1 g/cm3

Quantum ESPRESSO input file:
```
&SYSTEM
  ibrav = 0, nat = 12, ntyp = 4
/
ATOMIC_SPECIES
Rb 85.47 Rb.upf
Li 6.94 Li.upf
Sn 118.71 Sn.upf
I 126.90 I.upf
CELL_PARAMETERS angstrom
-3.1454 12.4398 3.1506
3.1454 -12.4398 3.1506
3.1454 12.4398 -3.1506
ATOMIC_POSITIONS crystal
Rb 0.0000 0.0000 0.0000
Li 0.1280 0.3792 0.7488
Li 0.6304 0.3792 0.2512
Sn 0.2542 0.8820 0.3721
Sn 0.5099 0.8820 0.6279
I 0.0091 0.3800 0.6291
I 0.1257 0.8780 0.2476
I 0.2470 0.3767 0.8703
I 0.3542 0.8542 0.5000
I 0.5063 0.3767 0.1297
I 0.6304 0.8780 0.7524
I 0.7508 0.3800 0.3709
```

---

# 3
A geometry-optimized Rb2SrLiI5 structure. Source: the Alexandria database, functional GGA-PBE. Values from VASP.

Summary:
Space group   Cmc2_1
Raw formation energy   -1.509 eV/atom
N(E_F)   0.000 states/eV/cell
Calculated density   3.7 g/cm3

Quantum ESPRESSO input file:
```
&SYSTEM
  ibrav = 0, nat = 18, ntyp = 4
/
ATOMIC_SPECIES
Rb 85.47 Rb.upf
Sr 87.62 Sr.upf
Li 6.94 Li.upf
I 126.90 I.upf
CELL_PARAMETERS angstrom
2.4394 -10.7398 0.0000
2.4394 10.7398 0.0000
0.0000 0.0000 15.5799
ATOMIC_POSITIONS crystal
Rb 0.1073 0.8927 0.5000
Rb 0.1235 0.8765 0.1504
Rb 0.8765 0.1235 0.6504
Rb 0.8927 0.1073 0.0000
Sr 0.2017 0.7983 0.8462
Sr 0.7983 0.2017 0.3462
Li 0.4411 0.5589 0.2492
Li 0.5589 0.4411 0.7492
I 0.0478 0.9522 0.8398
I 0.2916 0.7084 0.4908
I 0.3109 0.6891 0.2004
I 0.3522 0.6478 0.8286
I 0.4989 0.5011 0.5959
I 0.5011 0.4989 0.0959
I 0.6478 0.3522 0.3286
I 0.6891 0.3109 0.7004
I 0.7084 0.2916 0.9908
I 0.9522 0.0478 0.3398
```

---

Question: Among the records above, which one has the lowest raw formation energy?
Answer: Rb2SrLiI5

---

Please write out number 1 again, unchanged.
A geometry-optimized RbLi2SnI structure. Source: the Alexandria database, functional GGA-PBE. Values from VASP.

Summary:
Space group   P4/mmm
Raw formation energy   0.478 eV/atom
N(E_F)   3.475 states/eV/cell
Calculated density   2.7 g/cm3

Quantum ESPRESSO input file:
```
&SYSTEM
  ibrav = 0, nat = 5, ntyp = 4
/
ATOMIC_SPECIES
Rb 85.47 Rb.upf
Li 6.94 Li.upf
Sn 118.71 Sn.upf
I 126.90 I.upf
CELL_PARAMETERS angstrom
5.8254 0.0000 0.0000
0.0000 5.8254 0.0000
0.0000 0.0000 6.2740
ATOMIC_POSITIONS crystal
Rb 0.0000 0.0000 0.0000
Li 0.0000 0.5000 0.0000
Li 0.5000 0.0000 0.0000
Sn 0.5000 0.5000 0.5000
I 0.0000 0.0000 0.5000
```

---

Question: Number 3 is which compound?
Answer: Rb2SrLiI5